[1]
11
Lattice="2.9233 -4.6064 0.0000 2.9233 4.6064 0.0000 -2.3460 0.0000 6.1498" Properties=species:S:1:pos:R:3 comment="K2TiPt2O6 (PBE, relaxed)" e_form_raw_kj_per_mol_atoms=-129 dos_ef_per_ev_fu=0.2 total_energy_ev_per_atom=-6.055 pbc="T T T"
K 2.9233 2.9608 0.0000
K 2.9233 -2.9608 0.0000
Ti -1.1730 0.0000 3.0749
Pt 1.7503 1.5508 3.0749
Pt 1.7503 -1.5508 3.0749
O -0.4276 1.4687 4.1603
O 0.7456 0.0000 2.0969
O -0.4276 -1.4687 4.1603
O 3.9282 1.4687 1.9895
O 2.7550 0.0000 4.0529
O 3.9282 -1.4687 1.9895

***

[2]
20
Lattice="-4.0939 4.0939 4.0939 4.0939 -4.0939 4.0939 4.0939 4.0939 -4.0939" Properties=species:S:1:pos:R:3 comment="KTm4Pt3O12 (PBE, relaxed)" e_form_raw_kj_per_mol_atoms=-198 dos_ef_per_ev_fu=17.9 total_energy_ev_per_atom=-6.886 pbc="T T T"
K 0.0000 0.0000 0.0000
Tm 2.0470 2.0470 -2.0470
Tm 2.0470 -2.0470 2.0470
Tm -2.0470 2.0470 2.0470
Tm 2.0470 2.0470 2.0470
Pt 4.0939 0.0000 0.0000
Pt 0.0000 4.0939 0.0000
Pt 0.0000 0.0000 4.0939
O 4.0939 2.7369 -1.4426
O 2.6514 0.0000 1.3571
O 5.5365 0.0000 1.3571
O 1.3571 2.6514 0.0000
O 2.7369 -1.4426 4.0939
O 0.0000 1.3571 2.6514
O 4.0939 2.7369 1.4426
O 1.3571 5.5365 0.0000
O 2.7369 1.4426 4.0939
O -1.4426 4.0939 2.7369
O 1.4426 4.0939 2.7369
O 0.0000 1.3571 5.5365

***

[3]
14
Lattice="-3.3107 3.5005 4.6470 3.3107 -3.5005 4.6470 3.3107 3.5005 -4.6470" Properties=species:S:1:pos:R:3 comment="KTmPtO4 (PBE, relaxed)" e_form_raw_kj_per_mol_atoms=-174 total_energy_ev_per_atom=-6.291 pbc="T T T"
K 0.0000 1.7503 1.2080
K 3.3107 1.7503 3.4389
Tm 3.3107 0.0000 0.0000
Tm 0.0000 0.0000 4.6470
Pt 1.6553 1.7503 -2.3235
Pt 1.6553 -1.7503 2.3235
O 3.3107 -0.4744 2.2569
O 3.3107 3.0261 -2.2569
O 1.9258 1.7503 -0.2467
O 4.6956 1.7503 -0.2467
O -1.3849 1.7503 4.8936
O 1.3849 1.7503 4.8936
O 0.0000 0.4744 6.9038
O 0.0000 3.9750 2.3901

***

[4]
8
Lattice="5.9604 0.0000 0.0000 0.0000 3.3020 0.0000 -2.3612 0.0000 6.2015" Properties=species:S:1:pos:R:3 comment="K2TmPtO4 (PBE, relaxed)" e_form_raw_kj_per_mol_atoms=-168 total_energy_ev_per_atom=-5.806 pbc="T T T"
K 0.0000 0.0000 0.0000
K 2.9802 1.6510 0.0000
Tm -1.1806 1.6510 3.1007
Pt 1.7996 0.0000 3.1007
O -0.4928 0.0000 4.4162
O 0.9399 1.6510 2.0935
O 2.6594 1.6510 4.1080
O 4.0921 0.0000 1.7853

***

[5]
15
Lattice="3.3422 1.9296 6.2688 -3.3422 1.9296 6.2688 0.0000 -3.8592 6.2688" Properties=species:S:1:pos:R:3 comment="K3Tm3PtO8 (PBE, relaxed)" e_form_raw_kj_per_mol_atoms=-230 dos_ef_per_ev_fu=0.0 total_energy_ev_per_atom=-6.546 pbc="T T T"
K -1.6711 -0.9648 6.2688
K -1.6711 0.9648 12.5376
K 0.0000 1.9296 6.2688
Tm -3.3422 0.0000 9.4032
Tm -1.6711 0.9648 3.1344
Tm 1.6711 0.9648 3.1344
Pt 0.0000 0.0000 9.4032
O 0.0000 0.0000 4.2562
O -1.5730 -0.9082 10.4998
O 0.0000 -1.8163 8.3067
O -1.5730 0.9082 8.3067
O 1.5730 -0.9082 10.4998
O 0.0000 1.8163 10.4998
O 1.5730 0.9082 8.3067
O 0.0000 0.0000 14.5503

***

[6]
16
Lattice="5.9619 -3.3323 0.0000 5.9619 3.3323 0.0000 -3.7825 0.0000 6.2345" Properties=species:S:1:pos:R:3 comment="K4Tm3PtO8 (PBE, relaxed)" e_form_raw_kj_per_mol_atoms=-219 dos_ef_per_ev_fu=0.0 total_energy_ev_per_atom=-6.242 pbc="T T T"
K 0.0000 0.0000 0.0000
K 2.9810 1.6662 0.0000
K 2.9810 -1.6662 0.0000
K 5.9619 0.0000 0.0000
Tm -1.8913 0.0000 3.1173
Tm 1.0897 1.6662 3.1173
Tm 1.0897 -1.6662 3.1173
Pt 4.0706 0.0000 3.1173
O 0.0745 0.0000 4.2540
O 3.1222 1.5787 4.2181
O 1.8060 0.0000 1.8138
O 5.0190 1.5787 2.0164
O 3.1222 -1.5787 4.2181
O 6.3352 0.0000 4.4207
O 5.0190 -1.5787 2.0164
O 8.0668 0.0000 1.9805

***

[7]
18
Lattice="-3.6210 3.9553 5.3525 3.6210 -3.9553 5.3525 3.6210 3.9553 -5.3525" Properties=species:S:1:pos:R:3 comment="KUPtO6 (PBE, relaxed)" e_form_raw_kj_per_mol_atoms=-177 dos_ef_per_ev_fu=4.2 total_energy_ev_per_atom=-7.192 pbc="T T T"
K 0.0000 1.9777 1.0425
K 3.6210 1.9777 4.3100
U 3.6210 0.0000 0.0000
U 0.0000 0.0000 5.3525
Pt 1.8105 1.9777 -2.6762
Pt 1.8105 -1.9777 2.6762
O 2.1627 -0.5439 1.3319
O 5.0794 -0.5439 1.3319
O 3.6210 -1.9777 3.4206
O 2.1627 3.4114 -1.3319
O 1.4583 -0.5439 4.0206
O 3.6210 1.9777 0.7964
O 0.0000 1.9777 4.5561
O 2.1627 4.4992 1.3319
O 1.4583 0.5439 6.6844
O 0.0000 5.9330 1.9319
O -1.4583 4.4992 4.0206
O 1.4583 4.4992 4.0206

***

[8]
18
Lattice="3.9604 2.2866 6.0516 -3.9604 2.2866 6.0516 0.0000 -4.5731 6.0516" Properties=species:S:1:pos:R:3 comment="K2U3PtO12 (PBE, relaxed)" e_form_raw_kj_per_mol_atoms=-239 total_energy_ev_per_atom=-8.125 pbc="T T T"
K 0.0000 0.0000 2.7542
K 0.0000 0.0000 15.4006
U -1.9802 -1.1433 6.0516
U -1.9802 1.1433 12.1032
U 0.0000 2.2866 6.0516
Pt 0.0000 0.0000 9.0774
O 0.0000 -1.7092 5.5219
O -1.4802 0.8546 5.5219
O -1.4501 -0.8372 7.9718
O 0.0000 -1.6744 10.1830
O -1.4501 0.8372 10.1830
O -1.4802 -0.8546 12.6329
O 1.4802 0.8546 5.5219
O 1.4501 -0.8372 7.9718
O 0.0000 1.6744 7.9718
O 1.4501 0.8372 10.1830
O 1.4802 -0.8546 12.6329
O 0.0000 1.7092 12.6329